# 1
## Cu9Te (PBE-GGA)

Data for crystalline Cu9Te at its relaxed geometry.

Calculated values
energy relative to the lowest polymorph listed for this composition: 0 meV per atom
ρ: 6.69 g/cm3

a = 2.662 Å, b = 3.473 Å, c = 37.535 Å
α = 90.00°, β = 90.00°, γ = 90.00°
Fractional coordinates of all 20 atoms:
Cu1 0.250 0.250 0.017
Cu2 0.250 0.250 0.086
Cu3 0.250 0.250 0.154
Cu4 0.250 0.250 0.222
Cu5 0.250 0.250 0.290
Cu6 0.250 0.250 0.746
Cu7 0.250 0.250 0.813
Cu8 0.250 0.250 0.880
Cu9 0.250 0.250 0.949
Cu10 0.750 0.750 0.051
Cu11 0.750 0.750 0.120
Cu12 0.750 0.750 0.187
Cu13 0.750 0.750 0.254
Cu14 0.750 0.750 0.710
Cu15 0.750 0.750 0.778
Cu16 0.750 0.750 0.846
Cu17 0.750 0.750 0.914
Cu18 0.750 0.750 0.983
Te1 0.250 0.250 0.660
Te2 0.750 0.750 0.340

# 2
## PrBePO (PBE-GGA)

Data for crystalline PrBePO at its relaxed geometry.

Calculated values
energy relative to the lowest polymorph listed for this composition: 6 meV per atom
ρ: 5.07 g/cm3

a = 3.867 Å, b = 3.867 Å, c = 8.626 Å
α = 90.00°, β = 90.00°, γ = 90.00°
Fractional coordinates of all 8 atoms:
Pr1 0.250 0.250 0.148
Pr2 0.750 0.750 0.852
Be1 0.250 0.750 0.500
Be2 0.750 0.250 0.500
P1 0.250 0.250 0.639
P2 0.750 0.750 0.361
O1 0.250 0.750 0.000
O2 0.750 0.250 0.000

# 3
## HfInNiOs (PBE-GGA)

Data for crystalline HfInNiOs at its relaxed geometry.

Calculated values
E_tot: -28.8 eV per formula unit
ρ: 13.41 g/cm3

a = 6.452 Å, b = 6.452 Å, c = 6.452 Å
α = 90.00°, β = 90.00°, γ = 90.00°
Fractional coordinates of all 16 atoms:
Hf1 0.000 0.000 0.000
Hf2 0.000 0.500 0.500
Hf3 0.500 0.000 0.500
Hf4 0.500 0.500 0.000
In1 0.250 0.250 0.250
In2 0.250 0.750 0.750
In3 0.750 0.250 0.750
In4 0.750 0.750 0.250
Ni1 0.000 0.000 0.500
Ni2 0.000 0.500 0.000
Ni3 0.500 0.000 0.000
Ni4 0.500 0.500 0.500
Os1 0.250 0.250 0.750
Os2 0.250 0.750 0.250
Os3 0.750 0.250 0.250
Os4 0.750 0.750 0.750

# 4
## TmScHgC (PBE-GGA)

Data for crystalline TmScHgC at its relaxed geometry.

Calculated values
energy relative to the lowest polymorph listed for this composition: 0 meV per atom
ρ: 8.96 g/cm3

a = 3.451 Å, b = 3.451 Å, c = 15.328 Å
α = 90.00°, β = 90.00°, γ = 120.00°
Fractional coordinates of all 8 atoms:
Tm1 0.000 0.000 0.169
Tm2 0.000 0.000 0.831
Sc1 0.333 0.667 0.335
Sc2 0.333 0.667 0.665
Hg1 0.000 0.000 0.500
Hg2 0.333 0.667 0.000
C1 0.667 0.333 0.259
C2 0.667 0.333 0.741

# 5
## DyAsPbSe3 (PBE-GGA)

Data for crystalline DyAsPbSe3 at its relaxed geometry.

Calculated values
E_tot: -27.7 eV per formula unit
ρ: 7.16 g/cm3

a = 7.995 Å, b = 7.995 Å, c = 9.497 Å
α = 90.00°, β = 90.00°, γ = 148.62°
Fractional coordinates of all 12 atoms:
Dy1 0.000 0.000 0.000
Dy2 0.000 0.000 0.500
As1 0.470 0.530 0.750
As2 0.530 0.470 0.250
Pb1 0.243 0.757 0.250
Pb2 0.757 0.243 0.750
Se1 0.133 0.867 0.750
Se2 0.374 0.626 0.540
Se3 0.374 0.626 0.960
Se4 0.626 0.374 0.040
Se5 0.626 0.374 0.460
Se6 0.867 0.133 0.250

# 6
## SmBPO (PBE-GGA)

Data for crystalline SmBPO at its relaxed geometry.

Calculated values
energy relative to the lowest polymorph listed for this composition: 510 meV per atom
ρ: 5.57 g/cm3

a = 3.864 Å, b = 5.401 Å, c = 5.943 Å
α = 90.00°, β = 90.00°, γ = 90.00°
Fractional coordinates of all 8 atoms:
Sm1 0.000 0.222 0.000
Sm2 0.000 0.778 0.500
B1 0.500 0.321 0.350
B2 0.500 0.679 0.850
P1 0.500 0.377 0.671
P2 0.500 0.623 0.171
O1 0.000 0.166 0.362
O2 0.000 0.834 0.862

# 7
## BSbIr (PBE-GGA)

Data for crystalline BSbIr at its relaxed geometry.

Calculated values
energy relative to the lowest polymorph listed for this composition: 0 meV per atom
ρ: 11.65 g/cm3

a = 5.700 Å, b = 5.700 Å, c = 5.700 Å
α = 90.00°, β = 90.00°, γ = 90.00°
Fractional coordinates of all 12 atoms:
B1 0.000 0.000 0.000
B2 0.000 0.500 0.500
B3 0.500 0.000 0.500
B4 0.500 0.500 0.000
Sb1 0.250 0.250 0.250
Sb2 0.250 0.750 0.750
Sb3 0.750 0.250 0.750
Sb4 0.750 0.750 0.250
Ir1 0.250 0.250 0.750
Ir2 0.250 0.750 0.250
Ir3 0.750 0.250 0.250
Ir4 0.750 0.750 0.750

# 8
## Co5B2P (PBE-GGA)

Data for crystalline Co5B2P at its relaxed geometry.

Calculated values
E_tot: -57.1 eV per formula unit
ρ: 7.88 g/cm3

a = 6.437 Å, b = 6.437 Å, c = 6.437 Å
α = 131.55°, β = 131.55°, γ = 70.94°
Fractional coordinates of all 16 atoms:
Co1 0.000 0.000 0.000
Co2 0.029 0.529 0.840
Co3 0.189 0.029 0.500
Co4 0.311 0.811 0.840
Co5 0.471 0.311 0.500
Co6 0.500 0.500 0.000
Co7 0.529 0.689 0.500
Co8 0.689 0.189 0.160
Co9 0.811 0.971 0.500
Co10 0.971 0.471 0.160
B1 0.123 0.377 0.500
B2 0.377 0.877 0.254
B3 0.623 0.123 0.746
B4 0.877 0.623 0.500
P1 0.250 0.250 0.000
P2 0.750 0.750 0.000